# 1
# Sm2Er2ThMg5, relaxed, DFT PBE-GGA
data_Sm2Er2ThMg5
_space_group_name_H-M_alt 'P 1'
_space_group_IT_number 1
_cell_length_a 10.5433
_cell_length_b 10.5433
_cell_length_c 5.1654
_cell_angle_alpha 90.00
_cell_angle_beta 90.00
_cell_angle_gamma 90.00
loop_
_space_group_symop_operation_xyz
'x,y,z'
loop_
_atom_site_label
_atom_site_fract_x
_atom_site_fract_y
_atom_site_fract_z
Sm1 0.1770 0.3230 0.0000
Sm2 0.3230 0.8230 0.0000
Sm3 0.6770 0.1770 0.0000
Sm4 0.8230 0.6770 0.0000
Er1 0.1199 0.6199 0.0000
Er2 0.3801 0.1199 0.0000
Er3 0.6199 0.8801 0.0000
Er4 0.8801 0.3801 0.0000
Th1 0.0000 0.0000 0.0000
Th2 0.5000 0.5000 0.0000
Mg1 0.0000 0.5000 0.5000
Mg2 0.0745 0.8015 0.5000
Mg3 0.1985 0.0745 0.5000
Mg4 0.3015 0.5745 0.5000
Mg5 0.4255 0.3015 0.5000
Mg6 0.5000 0.0000 0.5000
Mg7 0.5745 0.6985 0.5000
Mg8 0.6985 0.4255 0.5000
Mg9 0.8015 0.9255 0.5000
Mg10 0.9255 0.1985 0.5000
# - calculated formation energy (meV per atom) = 96
# - final energy (eV/atom) = -3.300
# - M_tot (μB/atom) = 0.00
# - calculated volume (Å³/f.u.) = 287

---

# 2
# SmErMgTi, relaxed, DFT PBE-GGA
data_SmErMgTi
_space_group_name_H-M_alt 'P 1'
_space_group_IT_number 1
_cell_length_a 5.2687
_cell_length_b 5.2687
_cell_length_c 5.2687
_cell_angle_alpha 60.00
_cell_angle_beta 60.00
_cell_angle_gamma 60.00
loop_
_space_group_symop_operation_xyz
'x,y,z'
loop_
_atom_site_label
_atom_site_fract_x
_atom_site_fract_y
_atom_site_fract_z
Sm1 0.0000 0.0000 0.0000
Er1 0.5000 0.5000 0.5000
Mg1 0.2500 0.2500 0.2500
Ti1 0.7500 0.7500 0.7500
# - calculated formation energy (meV per atom) = 146
# - final energy (eV/atom) = -4.547
# - M_tot (μB/atom) = 0.50
# - calculated volume (Å³/f.u.) = 103

---

# 3
# SmErMgTl, relaxed, DFT PBE-GGA
data_SmErMgTl
_space_group_name_H-M_alt 'P 1'
_space_group_IT_number 1
_cell_length_a 5.3678
_cell_length_b 5.3678
_cell_length_c 5.3678
_cell_angle_alpha 60.00
_cell_angle_beta 60.00
_cell_angle_gamma 60.00
loop_
_space_group_symop_operation_xyz
'x,y,z'
loop_
_atom_site_label
_atom_site_fract_x
_atom_site_fract_y
_atom_site_fract_z
Sm1 0.0000 0.0000 0.0000
Er1 0.5000 0.5000 0.5000
Mg1 0.7500 0.7500 0.7500
Tl1 0.2500 0.2500 0.2500
# - calculated formation energy (meV per atom) = -233
# - final energy (eV/atom) = -3.544
# - M_tot (μB/atom) = 0.00
# - calculated volume (Å³/f.u.) = 109